{
  "formula": "Tb3NdRu",
  "functional": "PBE-GGA",
  "state": "relaxed",
  "de_polymorph_mev_per_atom": 35.1,
  "formation_energy_mev_per_atom": -126,
  "space_group": "Pmn2_1",
  "cell": [[-1.871, 3.739, -4.681], [2.791, -3.953, -4.273], [-6.534, -3.991, -0.575]],
  "species": ["Tb", "Tb", "Tb", "Tb", "Tb", "Tb", "Nd", "Nd", "Ru", "Ru"],
  "fractional_positions": [[0.420, 0.336, 0.201], [0.426, 0.852, 0.952], [0.926, 0.500, 0.452], [0.920, 0.017, 0.701], [0.926, 0.500, 0.950], [0.426, 0.852, 0.450], [0.432, 0.328, 0.701], [0.932, 0.025, 0.201], [0.174, 0.680, 0.701], [0.674, 0.673, 0.201]]
}

{
  "formula": "Tb2Nd3Ru2",
  "functional": "PBE-GGA",
  "state": "relaxed",
  "formation_energy_mev_per_atom": -231,
  "space_group": "P-1",
  "cell": [[3.864, -0.001, -0.869], [-2.385, 5.750, -1.596], [-0.091, 0.151, 8.661]],
  "species": ["Tb", "Tb", "Nd", "Nd", "Nd", "Ru", "Ru"],
  "fractional_positions": [[0.645, 0.475, 0.815], [0.355, 0.525, 0.185], [0.500, 0.000, 0.000], [0.193, 0.811, 0.573], [0.807, 0.189, 0.427], [0.039, 0.856, 0.222], [0.961, 0.144, 0.778]]
}

{
  "formula": "Tb5NdRu4",
  "functional": "PBE-GGA",
  "state": "relaxed",
  "formation_energy_mev_per_atom": -260,
  "space_group": "P4/mmm",
  "cell": [[-3.161, -0.467, -1.235], [-1.029, -1.135, 3.064], [-4.683, 18.111, 5.132]],
  "species": ["Tb", "Tb", "Tb", "Tb", "Tb", "Nd", "Ru", "Ru", "Ru", "Ru"],
  "fractional_positions": [[0.500, 0.500, 0.150], [0.500, 0.500, 0.325], [0.500, 0.500, 0.500], [0.500, 0.500, 0.675], [0.500, 0.500, 0.850], [0.000, 0.000, 0.000], [0.000, 0.000, 0.232], [0.000, 0.000, 0.412], [0.000, 0.000, 0.588], [0.000, 0.000, 0.768]]
}

{
  "formula": "TbNd4Ru",
  "functional": "PBE-GGA",
  "state": "relaxed",
  "formation_energy_mev_per_atom": -34,
  "space_group": "C2/m",
  "cell": [[6.073, 0.000, -0.526], [0.000, 7.579, 0.000], [-2.332, -3.790, 8.471]],
  "species": ["Tb", "Tb", "Nd", "Nd", "Nd", "Nd", "Nd", "Nd", "Nd", "Nd", "Ru", "Ru"],
  "fractional_positions": [[0.801, 0.801, 0.602], [0.199, 0.199, 0.398], [0.172, 0.672, 0.344], [0.385, 0.136, 0.769], [0.000, 0.207, 0.000], [0.615, 0.367, 0.231], [0.828, 0.328, 0.656], [0.615, 0.864, 0.231], [0.000, 0.793, 0.000], [0.385, 0.633, 0.769], [0.262, 0.500, 0.001], [0.738, 0.500, 0.999]]
}

{
  "formula": "TbNd3Ru",
  "functional": "PBE-GGA",
  "state": "relaxed",
  "de_polymorph_mev_per_atom": 165.8,
  "formation_energy_mev_per_atom": 53,
  "space_group": "Pm-3m",
  "cell": [[5.532, 0.000, 0.000], [0.000, 5.532, 0.000], [0.000, 0.000, 5.532]],
  "species": ["Nd", "Nd", "Nd", "Tb", "Ru"],
  "fractional_positions": [[0.000, 0.500, 0.000], [0.000, 0.000, 0.500], [0.500, 0.000, 0.000], [0.500, 0.500, 0.500], [0.000, 0.000, 0.000]]
}

{
  "formula": "TbNd3Ru",
  "functional": "PBE-GGA",
  "state": "relaxed",
  "de_polymorph_mev_per_atom": 0.0,
  "formation_energy_mev_per_atom": -113,
  "space_group": "Ima2",
  "cell": [[-5.310, -5.011, -1.726], [5.929, -1.369, -4.388], [3.096, -0.097, 6.833]],
  "species": ["Tb", "Tb", "Nd", "Nd", "Nd", "Nd", "Nd", "Nd", "Ru", "Ru"],
  "fractional_positions": [[0.502, 0.780, 0.222], [0.558, 0.280, 0.778], [0.030, 0.241, 0.708], [0.030, 0.822, 0.289], [0.533, 0.741, 0.711], [0.014, 0.283, 0.231], [0.533, 0.322, 0.292], [0.053, 0.783, 0.769], [0.535, 0.032, 0.004], [0.028, 0.532, 0.996]]
}

{
  "formula": "Tb5NdRu6",
  "functional": "PBE-GGA",
  "state": "relaxed",
  "formation_energy_mev_per_atom": -249,
  "space_group": "P2/m",
  "cell": [[4.733, 0.002, -0.999], [-0.003, 6.878, -0.001], [-0.899, 0.000, 7.620]],
  "species": ["Nd", "Tb", "Tb", "Tb", "Tb", "Tb", "Ru", "Ru", "Ru", "Ru", "Ru", "Ru"],
  "fractional_positions": [[0.000, 0.000, 0.000], [0.667, 0.500, 0.334], [0.332, 0.000, 0.664], [0.000, 0.500, 0.000], [0.668, 0.000, 0.336], [0.333, 0.500, 0.666], [0.832, 0.748, 0.664], [0.832, 0.252, 0.664], [0.500, 0.253, 0.000], [0.500, 0.747, 0.000], [0.168, 0.748, 0.336], [0.168, 0.252, 0.336]]
}

{
  "formula": "TbNd2U2Ru5",
  "functional": "PBE-GGA",
  "state": "relaxed",
  "formation_energy_mev_per_atom": -222,
  "space_group": "P4/mbm",
  "cell": [[3.557, 0.000, 0.000], [0.000, 10.858, 0.000], [0.000, 0.000, 10.858]],
  "species": ["Tb", "Tb", "Nd", "Nd", "Nd", "Nd", "U", "U", "U", "U", "Ru", "Ru", "Ru", "Ru", "Ru", "Ru", "Ru", "Ru", "Ru", "Ru"],
  "fractional_positions": [[0.000, 0.000, 0.000], [0.000, 0.500, 0.500], [0.000, 0.676, 0.176], [0.000, 0.324, 0.824], [0.000, 0.176, 0.324], [0.000, 0.824, 0.676], [0.000, 0.135, 0.635], [0.000, 0.865, 0.365], [0.000, 0.635, 0.865], [0.000, 0.365, 0.135], [0.500, 0.217, 0.050], [0.500, 0.783, 0.950], [0.500, 0.050, 0.783], [0.500, 0.717, 0.450], [0.500, 0.950, 0.217], [0.500, 0.283, 0.550], [0.500, 0.550, 0.717], [0.500, 0.450, 0.283], [0.500, 0.500, 0.000], [0.500, 0.000, 0.500]]
}

{
  "formula": "TbNdZnRu",
  "functional": "PBE-GGA",
  "state": "relaxed",
  "formation_energy_mev_per_atom": -273,
  "space_group": "Amm2",
  "cell": [[-2.480, -2.958, -1.189], [1.793, 0.078, -3.935], [4.841, -2.171, 2.163]],
  "species": ["Tb", "Nd", "Zn", "Ru"],
  "fractional_positions": [[0.137, 0.000, 0.274], [0.855, 0.500, 0.710], [0.433, 0.000, 0.866], [0.575, 0.500, 0.150]]
}

{
  "formula": "TbNdZnRu",
  "functional": "PBE-GGA",
  "state": "relaxed",
  "formation_energy_mev_per_atom": -271,
  "space_group": "F-43m",
  "cell": [[-2.893, 0.251, -4.085], [-3.443, -3.541, -0.854], [-4.873, 1.084, 0.443]],
  "species": ["Nd", "Zn", "Tb", "Ru"],
  "fractional_positions": [[0.000, 0.000, 0.000], [0.250, 0.250, 0.250], [0.500, 0.500, 0.500], [0.750, 0.750, 0.750]]
}

{
  "formula": "NdTcRu",
  "functional": "PBE-GGA",
  "state": "relaxed",
  "formation_energy_mev_per_atom": -80,
  "space_group": "Imma",
  "cell": [[4.429, 0.000, 2.487], [1.545, 4.661, 2.436], [-0.164, -0.011, 5.479]],
  "species": ["Nd", "Nd", "Tc", "Tc", "Ru", "Ru"],
  "fractional_positions": [[0.878, 0.372, 0.372], [0.122, 0.628, 0.628], [0.000, 0.000, 0.000], [0.500, 0.000, 0.000], [0.500, 0.500, 0.000], [0.500, 0.000, 0.500]]
}

{
  "formula": "Nd5TeRu2",
  "functional": "PBE-GGA",
  "state": "relaxed",
  "formation_energy_uncorrected_mev_per_atom": -493,
  "space_group": "I4/mcm",
  "cell": [[7.299, 0.000, -3.446], [-1.626, 7.116, -3.446], [-0.277, -0.347, 8.868]],
  "species": ["Nd", "Nd", "Nd", "Nd", "Nd", "Nd", "Nd", "Nd", "Nd", "Nd", "Te", "Te", "Ru", "Ru", "Ru", "Ru"],
  "fractional_positions": [[0.521, 0.711, 0.732], [0.789, 0.979, 0.268], [0.000, 0.000, 0.000], [0.500, 0.500, 0.000], [0.211, 0.021, 0.732], [0.711, 0.211, 0.732], [0.021, 0.521, 0.732], [0.289, 0.789, 0.268], [0.979, 0.479, 0.268], [0.479, 0.289, 0.268], [0.750, 0.750, 0.500], [0.250, 0.250, 0.500], [0.142, 0.358, 0.000], [0.642, 0.142, 0.000], [0.358, 0.858, 0.000], [0.858, 0.642, 0.000]]
}

The calculated total energy results, record by record, are as follows: -5.713; -6.248; -6.762; -5.531; -5.589; -5.755; -7.213; -8.534; -5.260; -5.258; -8.216; -6.184 eV/atom.